[1]
{
  "formula": "Ni3Hg",
  "functional": "PBE-GGA",
  "state": "optimized geometry",
  "e_form_ev_per_atom": 0.36,
  "n_ef_per_ev_atom": 1.643,
  "magnetic_moment_mub_per_cell": 0.94,
  "volume_a3_per_cell": 54.4,
  "sg": "R-3m",
  "cell": [[-1.477, 1.954, 1.087], [-2.606, -3.951, 1.359], [0.206, -1.266, 4.754]],
  "species": ["Hg", "Ni", "Ni", "Ni"],
  "frac_coords": [[0.000, 0.000, 0.000], [0.500, 0.500, 0.000], [0.500, 0.000, 0.500], [0.000, 0.500, 0.500]]
}

***

[2]
{
  "formula": "NiHg3",
  "functional": "PBE-GGA",
  "state": "optimized geometry",
  "e_form_ev_per_atom": 0.22,
  "n_ef_per_ev_atom": 0.516,
  "magnetic_moment_mub_per_cell": 0.00,
  "volume_a3_per_cell": 171.1,
  "sg": "Pmmn",
  "cell": [[-0.756, 0.367, 2.951], [-5.720, -1.589, -1.267], [2.083, -8.796, 1.628]],
  "species": ["Ni", "Ni", "Hg", "Hg", "Hg", "Hg", "Hg", "Hg"],
  "frac_coords": [[0.500, 0.500, 0.675], [0.000, 0.000, 0.325], [0.000, 0.500, 0.439], [0.500, 0.254, 0.151], [0.000, 0.246, 0.849], [0.500, 0.000, 0.561], [0.500, 0.746, 0.151], [0.000, 0.754, 0.849]]
}

***

[3]
{
  "formula": "NiHg",
  "functional": "PBE-GGA",
  "state": "optimized geometry",
  "e_form_ev_per_atom": 0.33,
  "n_ef_per_ev_atom": 0.662,
  "magnetic_moment_mub_per_cell": 0.00,
  "volume_a3_per_cell": 65.8,
  "sg": "Pmmn",
  "cell": [[3.098, 0.000, 0.000], [0.000, 4.766, 0.000], [0.000, 0.000, 4.458]],
  "species": ["Hg", "Hg", "Ni", "Ni"],
  "frac_coords": [[0.000, 0.000, 0.037], [0.500, 0.500, 0.796], [0.000, 0.500, 0.317], [0.500, 0.000, 0.516]]
}

***

[4]
{
  "formula": "Ni4Hg5",
  "functional": "PBE-GGA",
  "state": "optimized geometry",
  "e_form_ev_per_atom": 0.30,
  "n_ef_per_ev_atom": 0.678,
  "magnetic_moment_mub_per_cell": 0.00,
  "volume_a3_per_cell": 304.9,
  "sg": "P6_3/mcm",
  "cell": [[7.910, 0.000, 0.000], [3.955, 6.850, 0.000], [0.000, 0.000, 5.627]],
  "species": ["Ni", "Ni", "Ni", "Ni", "Ni", "Ni", "Ni", "Ni", "Hg", "Hg", "Hg", "Hg", "Hg", "Hg", "Hg", "Hg", "Hg", "Hg"],
  "frac_coords": [[0.000, 0.000, 0.000], [0.000, 0.000, 0.500], [0.622, 0.378, 0.250], [0.000, 0.622, 0.250], [0.378, 0.000, 0.250], [0.378, 0.622, 0.750], [0.000, 0.378, 0.750], [0.622, 0.000, 0.750], [0.283, 0.717, 0.250], [0.000, 0.283, 0.250], [0.717, 0.000, 0.250], [0.717, 0.283, 0.750], [0.000, 0.717, 0.750], [0.283, 0.000, 0.750], [0.333, 0.333, 0.000], [0.667, 0.667, 0.500], [0.667, 0.667, 0.000], [0.333, 0.333, 0.500]]
}

***

[5]
{
  "formula": "Ni2Hg",
  "functional": "PBE-GGA",
  "state": "optimized geometry",
  "e_form_ev_per_atom": 0.40,
  "n_ef_per_ev_atom": 1.543,
  "magnetic_moment_mub_per_cell": 1.77,
  "volume_a3_per_cell": 88.5,
  "sg": "P-6m2",
  "cell": [[-1.230, -1.340, -2.221], [0.020, -1.237, 2.591], [-10.804, 5.457, 2.687]],
  "species": ["Ni", "Ni", "Ni", "Ni", "Hg", "Hg"],
  "frac_coords": [[0.000, 0.000, 0.500], [0.667, 0.333, 0.000], [0.667, 0.333, 0.357], [0.667, 0.333, 0.643], [0.000, 0.000, 0.824], [0.000, 0.000, 0.176]]
}

***

[6]
{
  "formula": "Ni2Hg",
  "functional": "PBE-GGA",
  "state": "optimized geometry",
  "e_form_ev_per_atom": 0.31,
  "n_ef_per_ev_atom": 1.316,
  "magnetic_moment_mub_per_cell": 1.23,
  "volume_a3_per_cell": 86.9,
  "sg": "Amm2",
  "cell": [[1.435, -7.135, 0.000], [1.435, 7.135, 0.000], [0.000, 0.000, 4.244]],
  "species": ["Ni", "Ni", "Ni", "Ni", "Hg", "Hg"],
  "frac_coords": [[0.336, 0.664, 0.000], [0.558, 0.442, 0.500], [0.232, 0.768, 0.500], [0.872, 0.128, 0.500], [0.991, 0.009, 0.000], [0.678, 0.322, 0.000]]
}

***

[7]
{
  "formula": "Ni3Hg4",
  "functional": "PBE-GGA",
  "state": "optimized geometry",
  "e_form_ev_per_atom": 0.35,
  "n_ef_per_ev_atom": 1.211,
  "magnetic_moment_mub_per_cell": 0.00,
  "volume_a3_per_cell": 122.8,
  "sg": "P6/mmm",
  "cell": [[2.427, 1.853, 4.199], [-2.534, 3.235, -3.174], [-4.386, -0.662, 2.826]],
  "species": ["Ni", "Ni", "Ni", "Hg", "Hg", "Hg", "Hg"],
  "frac_coords": [[0.000, 0.500, 0.000], [0.500, 0.500, 0.000], [0.500, 0.000, 0.000], [0.000, 0.000, 0.248], [0.000, 0.000, 0.752], [0.667, 0.333, 0.500], [0.333, 0.667, 0.500]]
}

***

[8]
{
  "formula": "Ni3Hg",
  "functional": "PBE-GGA",
  "state": "optimized geometry",
  "e_form_ev_per_atom": 0.22,
  "n_ef_per_ev_atom": 1.137,
  "magnetic_moment_mub_per_cell": 1.22,
  "volume_a3_per_cell": 53.1,
  "sg": "Pm-3m",
  "cell": [[3.759, 0.000, 0.000], [0.000, 3.759, 0.000], [0.000, 0.000, 3.759]],
  "species": ["Ni", "Ni", "Ni", "Hg"],
  "frac_coords": [[0.000, 0.500, 0.500], [0.500, 0.000, 0.500], [0.500, 0.500, 0.000], [0.000, 0.000, 0.000]]
}